1.
{
  "formula": "RbUSe2F",
  "functional": "PBE",
  "state": "optimized geometry",
  "lattice": [[4.1997, 0.0000, 0.0000], [0.0000, 8.1026, 0.3041], [0.0000, -3.1132, 8.9671]],
  "species": ["U", "Se", "F", "Se", "U", "Se", "F", "Se", "Rb", "Rb"],
  "frac_coords": [[0.2500, 0.8189, 0.8279], [0.7500, 0.8362, 0.6363], [0.7500, 0.4563, 0.2423], [0.2500, 0.1638, 0.3637], [0.7500, 0.1811, 0.1721], [0.7500, 0.8130, 0.0344], [0.2500, 0.5437, 0.7577], [0.2500, 0.1870, 0.9656], [0.7500, 0.2966, 0.6874], [0.2500, 0.7034, 0.3126]],
  "space_group": "P2_1/m, No. 11",
  "rho_g_cm3": 5.38,
  "e_form_raw_ev_per_atom": -1.90,
  "total_magnetization_mub_per_cell": 4.0
}

---

2.
{
  "formula": "PrNdN2",
  "functional": "PBE",
  "state": "optimized geometry",
  "lattice": [[-2.3678, 1.0511, -2.4993], [2.6368, -2.2911, -0.8693], [-3.7490, -4.8815, 1.4984]],
  "species": ["N", "N", "Nd", "Pr"],
  "frac_coords": [[0.6666, 0.8333, 0.7478], [0.3334, 0.1667, 0.2522], [0.0000, 0.5000, 0.5000], [0.0000, 0.5000, 0.0000]],
  "space_group": "P-3m1, No. 164",
  "rho_g_cm3": 7.32,
  "e_form_raw_ev_per_atom": -0.99,
  "total_magnetization_mub_per_cell": 0.0
}

---

3.
{
  "formula": "Ba3Cu2TeS6",
  "functional": "PBE",
  "state": "optimized geometry",
  "lattice": [[-2.9590, 5.0919, -4.4113], [0.1661, -7.0474, -2.1093], [-7.0537, -1.1761, 3.3739]],
  "species": ["Ba", "S", "Cu", "S", "Te", "S", "S", "Cu", "Ba", "S", "S", "Ba"],
  "frac_coords": [[0.6667, 0.3333, 0.3709], [0.6696, 0.8348, 0.2958], [0.3333, 0.6667, 0.2308], [0.1652, 0.3304, 0.2958], [0.0000, 0.0000, 0.5000], [0.3304, 0.1652, 0.7042], [0.1652, 0.8348, 0.2958], [0.6667, 0.3333, 0.7692], [0.3333, 0.6667, 0.6291], [0.8348, 0.1652, 0.7042], [0.8348, 0.6696, 0.7042], [0.0000, 0.0000, 0.0000]],
  "space_group": "P-3m1, No. 164",
  "rho_g_cm3": 3.85,
  "e_form_raw_ev_per_atom": -0.91,
  "total_magnetization_mub_per_cell": 0.0
}

---

4.
{
  "formula": "PrAgSn3",
  "functional": "PBE",
  "state": "optimized geometry",
  "lattice": [[-3.2301, -3.6877, 3.9658], [4.7104, -4.2220, -0.0894], [5.6242, 6.0587, 10.2148]],
  "species": ["Pr", "Sn", "Sn", "Ag", "Ag", "Sn", "Pr", "Sn", "Sn", "Sn", "Sn", "Sn", "Ag", "Sn", "Pr", "Sn", "Sn", "Pr", "Ag", "Sn"],
  "frac_coords": [[0.2500, 0.9940, 0.6924], [0.7500, 0.5092, 0.2516], [0.2500, 0.4908, 0.7484], [0.5000, 0.7500, 0.8919], [0.0000, 0.2500, 0.1081], [0.2500, 0.6467, 0.0722], [0.2500, 0.4940, 0.3076], [0.2500, 0.9908, 0.2516], [0.0000, 0.2500, 0.5008], [0.5000, 0.7500, 0.4992], [0.0000, 0.7500, 0.4992], [0.5000, 0.2500, 0.5008], [0.5000, 0.2500, 0.1081], [0.7500, 0.8533, 0.0722], [0.7500, 0.0060, 0.3076], [0.7500, 0.0092, 0.7484], [0.2500, 0.1467, 0.9278], [0.7500, 0.5060, 0.6924], [0.0000, 0.7500, 0.8919], [0.7500, 0.3533, 0.9278]],
  "space_group": "Pbcm, No. 57",
  "rho_g_cm3": 7.66,
  "delta_e_f_ev_per_atom": -0.35,
  "total_magnetization_mub_per_cell": 0.0
}

---

5.
{
  "formula": "ThFe9B4",
  "functional": "PBE",
  "state": "optimized geometry",
  "lattice": [[6.4137, 0.0000, -3.6164], [-2.0391, 6.0809, -3.6164], [0.0716, 0.0995, 7.6226]],
  "species": ["B", "Fe", "Fe", "Fe", "Fe", "Fe", "B", "Fe", "Fe", "B", "B", "Fe", "Fe", "Fe", "B", "B", "Th", "Fe", "B", "Fe", "Fe", "Fe", "Th", "Fe", "Fe", "Fe", "Fe", "B"],
  "frac_coords": [[0.7680, 0.9552, 0.2719], [0.8064, 0.8942, 0.0000], [0.7005, 0.4685, 0.6450], [0.8943, 0.1935, 0.0000], [0.2995, 0.5315, 0.3550], [0.9446, 0.1765, 0.6450], [0.3166, 0.7680, 0.2719], [0.5889, 0.3009, 0.0000], [0.1936, 0.1058, 0.0000], [0.9552, 0.5039, 0.2719], [0.2320, 0.0448, 0.7281], [0.1057, 0.8065, 0.0000], [0.8235, 0.2995, 0.3550], [0.3009, 0.4112, 0.0000], [0.5039, 0.3166, 0.2719], [0.4961, 0.6834, 0.7281], [0.7536, 0.7536, 0.5071], [0.4111, 0.6991, 0.0000], [0.6834, 0.2320, 0.7281], [0.1765, 0.7005, 0.6450], [0.4685, 0.9446, 0.6450], [0.0554, 0.8235, 0.3550], [0.2464, 0.2464, 0.4929], [0.5315, 0.0554, 0.3550], [0.5000, 0.0000, 0.0000], [0.6991, 0.5888, 0.0000], [0.0000, 0.5000, 0.0000], [0.0448, 0.4961, 0.7281]],
  "space_group": "I4/m, No. 87",
  "rho_g_cm3": 8.56,
  "delta_e_f_ev_per_atom": -0.18,
  "total_magnetization_mub_per_cell": 27.4
}

---

6.
{
  "formula": "GdYFeRh",
  "functional": "PBE",
  "state": "optimized geometry",
  "lattice": [[-2.4991, -0.3861, 4.1523], [-4.7607, -0.9797, -0.1102], [-1.6228, -4.3422, 1.4657]],
  "species": ["Y", "Rh", "Fe", "Gd"],
  "frac_coords": [[0.2500, 0.2500, 0.2500], [0.0000, 0.0000, 0.0000], [0.5000, 0.5000, 0.5000], [0.7500, 0.7500, 0.7500]],
  "space_group": "F-43m, No. 216",
  "rho_g_cm3": 8.27,
  "delta_e_f_ev_per_atom": -0.27,
  "total_magnetization_mub_per_cell": 5.4
}

---

7.
{
  "formula": "Y3MgN",
  "functional": "PBE",
  "state": "optimized geometry",
  "lattice": [[-6.5703, 4.0840, -0.6628], [4.4245, -7.8872, -1.4913], [-4.5312, -0.4460, 5.3044]],
  "species": ["Y", "Mg", "Mg", "N", "N", "Y", "Y", "Y", "Y", "Y"],
  "frac_coords": [[0.5127, 0.4917, 0.7126], [0.2518, 0.9916, 0.3299], [0.7736, 0.9917, 0.5687], [0.2546, 0.4915, 0.0784], [0.7709, 0.4917, 0.8203], [0.5127, 0.4916, 0.1860], [0.0127, 0.4916, 0.4493], [0.7450, 0.9916, 0.0833], [0.0127, 0.4916, 0.9494], [0.2805, 0.9917, 0.8154]],
  "space_group": "Cmmm, No. 65",
  "rho_g_cm3": 4.29,
  "e_form_raw_ev_per_atom": -0.70,
  "total_magnetization_mub_per_cell": 0.0
}

---

8.
{
  "formula": "KCrSb2",
  "functional": "PBE",
  "state": "optimized geometry",
  "lattice": [[0.1143, 4.5045, 0.9737], [-2.2293, 2.3572, 3.2751], [5.0940, 0.2714, 5.4407]],
  "species": ["K", "Cr", "Sb", "Sb"],
  "frac_coords": [[0.2500, 0.2500, 0.2500], [0.7500, 0.7500, 0.7500], [0.4757, 0.4757, 0.5947], [0.0243, 0.0243, 0.9053]],
  "space_group": "C2/m, No. 12",
  "rho_g_cm3": 4.67,
  "e_form_raw_ev_per_atom": -0.08,
  "total_magnetization_mub_per_cell": 3.3
}

---

9.
{
  "formula": "FeP2Ir",
  "functional": "PBE",
  "state": "optimized geometry",
  "lattice": [[5.1825, 0.0154, -0.0098], [2.8306, 4.3413, 0.0098], [-3.6276, -2.8754, 2.3306]],
  "species": ["Ir", "P", "P", "Fe"],
  "frac_coords": [[0.7611, 0.2611, 0.5000], [0.9936, 0.9936, 0.0000], [0.2756, 0.7756, 0.5000], [0.4698, 0.4698, 0.0000]],
  "space_group": "Imm2, No. 44",
  "rho_g_cm3": 9.82,
  "delta_e_f_ev_per_atom": 0.06,
  "total_magnetization_mub_per_cell": 0.7
}